Record 1
DFT (PBEsol) results for a relaxed AlClF2 crystal.

Summary:
Formation energy without anion corrections ... -1.097 eV per atom
DOS at the Fermi energy ... 3.4 states/eV per cell
Crystal system ... cubic
Spin magnetization ... 0.0000 μB/atom

Geometry as CIF:
```
data_AlClF2
_symmetry_space_group_name_H-M 'F m -3 m'
_symmetry_Int_Tables_number 225
_symmetry_space_group_name_Hall '-F 4 2 3'
_cell_length_a 5.725
_cell_length_b 5.725
_cell_length_c 5.725
_cell_angle_alpha 90.00
_cell_angle_beta 90.00
_cell_angle_gamma 90.00
loop_
_atom_site_label
_atom_site_type_symbol
_atom_site_fract_x
_atom_site_fract_y
_atom_site_fract_z
Al1 Al 0.000 0.000 0.000
Cl1 Cl 0.000 0.000 0.500
F1 F 0.250 0.250 0.250
```


Record 2
DFT (PBEsol) results for a relaxed Al2PdClF crystal.

Summary:
Formation energy without anion corrections ... 0.229 eV per atom
DOS at the Fermi energy ... 0.1 states/eV per cell
Crystal system ... tetragonal
Spin magnetization ... 0.0000 μB/atom

Geometry as CIF:
```
data_Al2PdClF
_symmetry_space_group_name_H-M 'P 4/m m m'
_symmetry_Int_Tables_number 123
_symmetry_space_group_name_Hall '-P 4 2'
_cell_length_a 5.371
_cell_length_b 5.371
_cell_length_c 4.405
_cell_angle_alpha 90.00
_cell_angle_beta 90.00
_cell_angle_gamma 90.00
loop_
_atom_site_label
_atom_site_type_symbol
_atom_site_fract_x
_atom_site_fract_y
_atom_site_fract_z
Al1 Al 0.000 0.500 0.000
Pd1 Pd 0.000 0.000 0.500
Cl1 Cl 0.000 0.000 0.000
F1 F 0.500 0.500 0.500
```


Record 3
DFT (PBEsol) results for a relaxed AlSCl2F crystal.

Summary:
Formation energy without anion corrections ... 0.105 eV per atom
DOS at the Fermi energy ... 4.3 states/eV per cell
Crystal system ... tetragonal
Spin magnetization ... 0.2480 μB/atom

Geometry as CIF:
```
data_AlSCl2F
_symmetry_space_group_name_H-M 'P 4/m m m'
_symmetry_Int_Tables_number 123
_symmetry_space_group_name_Hall '-P 4 2'
_cell_length_a 5.302
_cell_length_b 5.302
_cell_length_c 3.586
_cell_angle_alpha 90.00
_cell_angle_beta 90.00
_cell_angle_gamma 90.00
loop_
_atom_site_label
_atom_site_type_symbol
_atom_site_fract_x
_atom_site_fract_y
_atom_site_fract_z
Al1 Al 0.000 0.000 0.000
S1 S 0.500 0.500 0.000
Cl1 Cl 0.000 0.500 0.500
F1 F 0.500 0.500 0.500
```


Record 4
DFT (PBEsol) results for a relaxed AlTcClF2 crystal.

Summary:
Formation energy without anion corrections ... -0.894 eV per atom
DOS at the Fermi energy ... 3.2 states/eV per cell
Crystal system ... tetragonal
Spin magnetization ... 0.4431 μB/atom

Geometry as CIF:
```
data_AlTcClF2
_symmetry_space_group_name_H-M 'P 4/m m m'
_symmetry_Int_Tables_number 123
_symmetry_space_group_name_Hall '-P 4 2'
_cell_length_a 3.531
_cell_length_b 3.531
_cell_length_c 5.817
_cell_angle_alpha 90.00
_cell_angle_beta 90.00
_cell_angle_gamma 90.00
loop_
_atom_site_label
_atom_site_type_symbol
_atom_site_fract_x
_atom_site_fract_y
_atom_site_fract_z
Al1 Al 0.000 0.000 0.000
Tc1 Tc 0.500 0.500 0.500
Cl1 Cl 0.000 0.000 0.500
F1 F 0.000 0.500 0.000
```